# 1
Compound: CrGa2Co5
Source: Alexandria
Functional: PBE-GGA
Structure: optimized geometry

Cell and atoms, written as CIF:
```
data_CrGa2Co5
_cell_length_a 4.070
_cell_length_b 4.070
_cell_length_c 11.325
_cell_angle_alpha 90.00
_cell_angle_beta 90.00
_cell_angle_gamma 90.00
_space_group_name_H-M_alt 'I 4/m m m'
_space_group_IT_number 139
_space_group_name_Hall '-I 4 2'
loop_
_atom_site_label
_atom_site_fract_x
_atom_site_fract_y
_atom_site_fract_z
_atom_site_occupancy
Cr1 0.000 0.000 0.000 1
Ga1 0.000 0.000 0.251 1
Co1 0.000 0.000 0.500 1
Co2 0.000 0.500 0.121 1
```

Values from the calculation:
The value obtained for the formation energy from the elements is -0.05 eV per atom. For the total magnetization, the calculation gives 7.8 μB/f.u.

=====

# 2
Compound: Cr5GaCo6
Source: Alexandria
Functional: PBE-GGA
Structure: optimized geometry

Cell and atoms, written as CIF:
```
data_Cr5GaCo6
_cell_length_a 4.022
_cell_length_b 12.085
_cell_length_c 5.736
_cell_angle_alpha 90.00
_cell_angle_beta 90.00
_cell_angle_gamma 90.00
_space_group_name_H-M_alt 'C m m m'
_space_group_IT_number 65
_space_group_name_Hall '-C 2 2'
loop_
_atom_site_label
_atom_site_fract_x
_atom_site_fract_y
_atom_site_fract_z
_atom_site_occupancy
Cr1 0.000 0.000 0.000 1
Cr2 0.000 0.332 0.500 1
Cr3 0.000 0.333 0.000 1
Ga1 0.000 0.000 0.500 1
Co1 0.000 0.168 0.246 1
Co2 0.000 0.500 0.243 1
```

Values from the calculation:
The value obtained for the formation energy from the elements is 0.07 eV per atom. For the total magnetization, the calculation gives 15.0 μB/f.u.

=====

# 3
Compound: CrGaCo6
Source: Alexandria
Functional: PBE-GGA
Structure: optimized geometry

Cell and atoms, written as CIF:
```
data_CrGaCo6
_cell_length_a 7.086
_cell_length_b 10.028
_cell_length_c 10.047
_cell_angle_alpha 90.00
_cell_angle_beta 90.00
_cell_angle_gamma 90.00
_space_group_name_H-M_alt 'C m m m'
_space_group_IT_number 65
_space_group_name_Hall '-C 2 2'
loop_
_atom_site_label
_atom_site_fract_x
_atom_site_fract_y
_atom_site_fract_z
_atom_site_occupancy
Cr1 0.000 0.000 0.247 1
Cr2 0.000 0.247 0.500 1
Ga1 0.000 0.249 0.000 1
Ga2 0.000 0.500 0.252 1
Co1 0.000 0.000 0.000 1
Co2 0.000 0.000 0.500 1
Co3 0.000 0.247 0.255 1
Co4 0.000 0.500 0.000 1
Co5 0.000 0.500 0.500 1
Co6 0.247 0.123 0.128 1
Co7 0.247 0.127 0.378 1
```

Values from the calculation:
The value obtained for the formation energy from the elements is -0.04 eV per atom. For the total magnetization, the calculation gives 4.8 μB/f.u.

=====

# 4
Compound: Cr2Ga2Co
Source: Alexandria
Functional: PBE-GGA
Structure: optimized geometry

Cell and atoms, written as CIF:
```
data_Cr2Ga2Co
_cell_length_a 6.291
_cell_length_b 6.291
_cell_length_c 3.471
_cell_angle_alpha 90.00
_cell_angle_beta 90.00
_cell_angle_gamma 90.00
_space_group_name_H-M_alt 'P 4/m b m'
_space_group_IT_number 127
_space_group_name_Hall '-P 4 2ab'
loop_
_atom_site_label
_atom_site_fract_x
_atom_site_fract_y
_atom_site_fract_z
_atom_site_occupancy
Cr1 0.165 0.335 0.000 1
Ga1 0.140 0.640 0.500 1
Co1 0.000 0.000 0.500 1
```

Values from the calculation:
The value obtained for the formation energy from the elements is 0.19 eV per atom. For the total magnetization, the calculation gives 5.3 μB/f.u.